# Pm3CoAg3O8, relaxed, DFT PBE+U
# Energy (eV per cell): -187.3
# M_tot (μB per atom): 0.202
data_Pm3CoAg3O8
_symmetry_space_group_name_H-M 'C 1 2/m 1'
_symmetry_Int_Tables_number 12
_cell_length_a 12.000
_cell_length_b 7.198
_cell_length_c 8.020
_cell_angle_alpha 90.00
_cell_angle_beta 129.04
_cell_angle_gamma 90.00
loop_
_symmetry_equiv_pos_as_xyz
'x,y,z'
'-x,-y,-z'
'-x,y,-z'
'x,-y,z'
'x+1/2,y+1/2,z'
'-x+1/2,-y+1/2,-z'
'-x+1/2,y+1/2,-z'
'x+1/2,-y+1/2,z'
loop_
_atom_site_label
_atom_site_fract_x
_atom_site_fract_y
_atom_site_fract_z
_atom_site_occupancy
Pm1 0.000 0.000 0.000 1
Pm2 0.250 0.250 0.000 1
Co1 0.000 0.500 0.000 1
Ag1 0.000 0.000 0.500 1
Ag2 0.250 0.250 0.500 1
O1 0.074 0.500 0.861 1
O2 0.097 0.000 0.826 1
O3 0.152 0.261 0.177 1